Material: PmSm2C
Method: DFT, PBE-GGA
State: optimized geometry

Cell and atoms, written as POSCAR:
```
PmSm2C
1.0
-1.820 2.609 5.843
1.820 -2.609 5.843
1.820 2.609 -5.843
Pm Sm C
1 2 1
Direct
0.000 0.000 0.000
0.352 0.352 0.000
0.648 0.648 0.000
0.500 0.000 0.500
```

Output
The density of states at the Fermi level comes out at 5.49 states/eV per cell. The polymorph energy (0 for the lowest one) comes out at 42 meV/atom. The space-group type is Immm, No. 71. As for the formation energy from the elements: -0.035 eV per atom.